No. 1
Material: NaDy2PuO6
Method: DFT, PBE
State: optimized geometry

Summary:
**Energy relative to the elements, uncorrected**: -288.34 kJ per mole of atoms

abc: 5.8307 5.8307 15.3348
angles: 90.00 90.00 120.00
Space group R3 (No. 146, hexagonal axes)
One atom of each set of equivalent atoms:
Na (0.0000, 0.0000, 0.0000) (multiplicity 3)
Dy (0.0000, 0.0000, 0.2711) (multiplicity 3)
Dy (0.0000, 0.0000, 0.7820) (multiplicity 3)
Pu (0.0000, 0.0000, 0.4798) (multiplicity 3)
O (0.0218, 0.3435, 0.5432) (multiplicity 9)
O (0.0271, 0.7402, 0.3873) (multiplicity 9)

=====

No. 2
Material: Cs5Au6
Method: DFT, PBE
State: optimized geometry

Summary:
**Formation energy from the elements**: -3.4 eV per formula unit

abc: 5.0279 33.3729 5.2117
angles: 90.00 90.00 90.00
Space group Cmmm (No. 65)
One atom of each set of equivalent atoms:
Cs (0.0000, 0.0000, 0.0000) (multiplicity 2)
Cs (0.0000, 0.1957, 0.5000) (multiplicity 4)
Cs (0.0000, 0.3860, 0.0000) (multiplicity 4)
Au (0.0000, 0.0796, 0.5000) (multiplicity 4)
Au (0.0000, 0.2735, 0.0000) (multiplicity 4)
Au (0.0000, 0.4587, 0.5000) (multiplicity 4)

=====

No. 3
Material: AcSbRh
Method: DFT, PBE
State: optimized geometry

Summary:
**Energy relative to the elements, uncorrected**: -72.92 kJ per mole of atoms
**Excess energy over the best structure of this formula in the dataset**: 177 meV/atom

abc: 6.9558 6.9558 6.9558
angles: 90.00 90.00 90.00
Space group F-43m (No. 216)
One atom of each set of equivalent atoms:
Ac (0.0000, 0.0000, 0.0000) (multiplicity 4)
Sb (0.0000, 0.0000, 0.5000) (multiplicity 4)
Rh (0.2500, 0.2500, 0.7500) (multiplicity 4)

=====

No. 4
Material: SiPC
Method: DFT, PBE
State: optimized geometry

Summary:
**Energy relative to the elements, uncorrected**: 39.98 kJ per mole of atoms
**Excess energy over the best structure of this formula in the dataset**: 205 meV/atom

abc: 5.6171 3.0275 4.7085
angles: 90.00 108.12 90.00
Space group Cm (No. 8)
One atom of each set of equivalent atoms:
Si (0.0000, 0.0000, 0.0000) (multiplicity 2)
P (0.2133, 0.5000, 0.5363) (multiplicity 2)
C (0.2088, 0.5000, 0.1418) (multiplicity 2)

=====

No. 5
Material: Zr3Al2
Method: DFT, PBE
State: optimized geometry

Summary:
**Formation energy from the elements**: -1.6 eV per formula unit

abc: 4.3059 6.2389 7.7287
angles: 90.00 90.00 90.00
Space group Immm (No. 71)
One atom of each set of equivalent atoms:
Zr (0.0000, 0.0000, 0.0000) (multiplicity 2)
Zr (0.0000, 0.5000, 0.2009) (multiplicity 4)
Al (0.0000, 0.2041, 0.5000) (multiplicity 4)

=====

No. 6
Material: Ni2Pt2W3
Method: DFT, PBE
State: optimized geometry

Summary:
**Formation energy from the elements**: -0.3 eV per formula unit

abc: 2.7594 5.6115 6.9900
angles: 104.38 90.03 104.17
Space group P-1 (No. 2)
One atom of each set of equivalent atoms:
Ni (0.2023, 0.4068, 0.1094) (multiplicity 2)
Pt (0.0856, 0.1710, 0.7012) (multiplicity 2)
W (0.3574, 0.7102, 0.6187) (multiplicity 2)
W (0.5000, 0.0000, 0.0000) (multiplicity 1)

=====

No. 7
Material: AlSeCl2
Method: DFT, PBE
State: optimized geometry

Summary:
**Energy relative to the elements, uncorrected**: 23.81 kJ per mole of atoms
**Excess energy over the best structure of this formula in the dataset**: 1155 meV/atom

abc: 6.3962 8.2766 3.1567
angles: 90.00 90.00 90.00
Space group Cmmm (No. 65)
One atom of each set of equivalent atoms:
Al (0.0000, 0.0000, 0.0000) (multiplicity 2)
Se (0.0000, 0.5000, 0.0000) (multiplicity 2)
Cl (0.2500, 0.2500, 0.5000) (multiplicity 4)

=====

No. 8
Material: SmHfCd
Method: DFT, PBE
State: optimized geometry

Summary:
**Excess energy over the best structure of this formula in the dataset**: 129 meV/atom
**Formation energy from the elements**: 0.3 eV per formula unit

abc: 16.2618 3.3004 5.7193
angles: 90.00 90.00 90.00
Space group Amm2 (No. 38)
One atom of each set of equivalent atoms:
Sm (0.1792, 0.0000, 0.0000) (multiplicity 4)
Hf (0.3423, 0.0000, 0.6666) (multiplicity 4)
Cd (0.0000, 0.0000, 0.6680) (multiplicity 2)
Cd (0.5000, 0.0000, 0.9994) (multiplicity 2)

=====

No. 9
Material: La2NiRh
Method: DFT, PBE
State: optimized geometry

Summary:
**Formation energy from the elements**: -1.8 eV per formula unit

abc: 7.2047 4.1579 7.0819
angles: 90.00 109.69 90.00
Space group C2/m (No. 12)
One atom of each set of equivalent atoms:
La (0.2493, 0.0000, 0.2485) (multiplicity 4)
Ni (0.0000, 0.0000, 0.5000) (multiplicity 2)
Rh (0.0000, 0.5000, 0.0000) (multiplicity 2)

=====

No. 10
Material: Pm12Dy6Tm
Method: DFT, PBE
State: optimized geometry

Summary:
**Excess energy over the best structure of this formula in the dataset**: 0 meV/atom
**Formation energy from the elements**: 2.6 eV per formula unit

abc: 12.1064 12.1064 15.2330
angles: 90.00 90.00 120.00
Space group R-3 (No. 148, hexagonal axes)
One atom of each set of equivalent atoms:
Pm (0.0035, 0.1739, 0.1909) (multiplicity 18)
Pm (0.0464, 0.1964, 0.4163) (multiplicity 18)
Dy (0.0154, 0.5887, 0.6865) (multiplicity 18)
Tm (0.0000, 0.0000, 0.0000) (multiplicity 3)

=====

No. 11
Material: La3GaO
Method: DFT, PBE
State: optimized geometry

Summary:
**Energy relative to the elements, uncorrected**: -88.21 kJ per mole of atoms

abc: 13.3184 13.3184 13.3184
angles: 90.00 90.00 90.00
Space group Fd-3m (No. 227, origin choice 2)
One atom of each set of equivalent atoms:
La (0.0722, 0.3750, 0.3750) (multiplicity 48)
Ga (0.0000, 0.0000, 0.5000) (multiplicity 16)
O (0.0000, 0.0000, 0.0000) (multiplicity 16)

=====

No. 12
Material: LiCaMgSn2
Method: DFT, PBE
State: optimized geometry

Summary:
**Formation energy from the elements**: -2.1 eV per formula unit

abc: 4.5345 4.5345 12.5405
angles: 90.00 90.00 90.00
Space group I-4m2 (No. 119)
One atom of each set of equivalent atoms:
Li (0.0000, 0.0000, 0.0000) (multiplicity 2)
Ca (0.0000, 0.5000, 0.2500) (multiplicity 2)
Mg (0.0000, 0.0000, 0.5000) (multiplicity 2)
Sn (0.0000, 0.5000, 0.6384) (multiplicity 4)